1.
# BaAs2RhS8, relaxed, DFT PBE
# Calculated volume ... 22.9 Å³/atom
# Uncorrected formation energy ... -4.6 eV per formula unit
data_BaAs2RhS8
_chemical_formula_sum 'Ba1 As2 Rh1 S8'
_cell_length_a 5.9736
_cell_length_b 5.9736
_cell_length_c 8.9070
_cell_angle_alpha 90.00
_cell_angle_beta 90.00
_cell_angle_gamma 120.00
_space_group_name_H-M_alt 'P -3'
_space_group_IT_number 147
_space_group_name_Hall '-P 3'
loop_
_atom_site_label
_atom_site_type_symbol
_atom_site_fract_x
_atom_site_fract_y
_atom_site_fract_z
Ba1 Ba 0.0000 0.0000 0.0000
As1 As 0.3333 0.6667 0.7210
Rh1 Rh 0.0000 0.0000 0.5000
S1 S 0.0310 0.7023 0.3359
S2 S 0.3333 0.6667 0.9640



2.
# La6P2Se3O, relaxed, DFT PBE
# Calculated volume ... 26.3 Å³/atom
# Uncorrected formation energy ... -23.8 eV per formula unit
data_La6P2Se3O
_chemical_formula_sum 'La12 P4 Se6 O2'
_cell_length_a 18.4253
_cell_length_b 4.1753
_cell_length_c 8.4853
_cell_angle_alpha 90.00
_cell_angle_beta 105.12
_cell_angle_gamma 90.00
_space_group_name_H-M_alt 'C 1 2/m 1'
_space_group_IT_number 12
_space_group_name_Hall '-C 2y'
loop_
_atom_site_label
_atom_site_type_symbol
_atom_site_fract_x
_atom_site_fract_y
_atom_site_fract_z
La1 La 0.0012 0.0000 0.2186
La2 La 0.1493 0.5000 0.0832
La3 La 0.1700 0.5000 0.5751
P1 P 0.1636 0.0000 0.3299
Se1 Se 0.0000 0.5000 0.5000
Se2 Se 0.1715 0.0000 0.8374
O1 O 0.0000 0.5000 0.0000



3.
# Sr2InBi, relaxed, DFT PBE
# Calculated volume ... 34.7 Å³/atom
# ΔH_f (0 K) ... -0.611 eV/atom
data_Sr2InBi
_chemical_formula_sum 'Sr2 In1 Bi1'
_cell_length_a 5.5102
_cell_length_b 5.5102
_cell_length_c 4.5672
_cell_angle_alpha 90.00
_cell_angle_beta 90.00
_cell_angle_gamma 90.00
_space_group_name_H-M_alt 'P 4/m m m'
_space_group_IT_number 123
_space_group_name_Hall '-P 4 2'
loop_
_atom_site_label
_atom_site_type_symbol
_atom_site_fract_x
_atom_site_fract_y
_atom_site_fract_z
Sr1 Sr 0.0000 0.5000 0.0000
In1 In 0.0000 0.0000 0.5000
Bi1 Bi 0.5000 0.5000 0.5000



4.
# ThU3N6, relaxed, DFT PBE
# Calculated volume ... 15.5 Å³/atom
# Uncorrected formation energy ... -14.2 eV per formula unit
data_ThU3N6
_chemical_formula_sum 'Th2 U6 N12'
_cell_length_a 7.6666
_cell_length_b 10.9959
_cell_length_c 3.6706
_cell_angle_alpha 90.00
_cell_angle_beta 90.00
_cell_angle_gamma 90.00
_space_group_name_H-M_alt 'C m m m'
_space_group_IT_number 65
_space_group_name_Hall '-C 2 2'
loop_
_atom_site_label
_atom_site_type_symbol
_atom_site_fract_x
_atom_site_fract_y
_atom_site_fract_z
Th1 Th 0.0000 0.0000 0.0000
U1 U 0.0000 0.5000 0.0000
U2 U 0.2500 0.2500 0.5000
N1 N 0.0000 0.1523 0.5000
N2 N 0.2102 0.3716 0.0000